A plane-wave DFT calculation with PBE was carried out for Ac2Sn6Ru after structural relaxation.

Summary:
Total moment   0.00 μB/f.u.
Final energy   -5.015 eV/atom
Offset from the most stable computed form   53 meV/atom

a b c (Å): 4.6805 4.4818 25.0833
angles (deg): 90.00 90.00 90.00
With the nearest neighbours (Å) after each atom.
Space group Amm2 (No. 38)
One atom of each set of equivalent atoms:
Ac: 0.0000 0.0000 0.0000 [2 per cell]  10 Sn 3.40-3.73
Ac: 0.0000 0.0000 0.3329 [2 per cell]  8 Sn 3.49-3.67, 4 Ru 3.51
Sn: 0.0000 0.0000 0.6077 [2 per cell]  1 Sn 2.89
Sn: 0.0000 0.0000 0.7229 [2 per cell]  2 Ru 2.73, 1 Sn 2.89
Sn: 0.5000 0.0000 0.1039 [2 per cell]  5 Sn 2.91-3.24
Sn: 0.5000 0.0000 0.2199 [2 per cell]  2 Ru 2.68, 1 Sn 2.91
Sn: 0.5000 0.0000 0.4585 [2 per cell]  2 Sn 2.91
Sn: 0.5000 0.0000 0.8844 [2 per cell]  1 Ru 2.65, 2 Sn 2.91
Ru: 0.5000 0.0000 0.7789 [2 per cell]  5 Sn 2.65-2.73

A plane-wave DFT calculation with PBE was carried out for AcSnRu after structural relaxation.

Summary:
Total moment   0.00 μB/f.u.
Final energy   -6.234 eV/atom
Offset from the most stable computed form   30 meV/atom

a b c (Å): 8.0177 5.0360 7.4447
angles (deg): 90.00 90.00 90.00
With the nearest neighbours (Å) after each atom.
Space group Pnma (No. 62)
One atom of each set of equivalent atoms:
Ac: 0.0365 0.2500 0.1871 [4 per cell]  4 Ru 3.13-3.28, 5 Sn 3.39-3.43
Sn: 0.1885 0.2500 0.6153 [4 per cell]  4 Ru 2.72-2.85
Ru: 0.1471 0.7500 0.4420 [4 per cell]  4 Sn 2.72-2.85

A plane-wave DFT calculation with PBE was carried out for AcSn8Ru2 after structural relaxation.

Summary:
Total moment   0.00 μB/f.u.
Final energy   -4.973 eV/atom

a b c (Å): 6.4401 6.4401 8.2521
angles (deg): 90.00 90.00 90.00
With the nearest neighbours (Å) after each atom.
Space group P4/mmm (No. 123)
One atom of each set of equivalent atoms:
Ac: 0.0000 0.0000 0.0000 [1 per cell]  8 Sn 3.46
Sn: 0.2552 0.2552 0.3099 [8 per cell]  2 Ru 2.77
Ru: 0.0000 0.5000 0.5000 [2 per cell]  8 Sn 2.77